# 1
# Cs2LiTi3O8

A geometry-optimized Cs2LiTi3O8 structure (PBE, Alexandria via LeMat-Bulk).

a b c (Å): 7.978 7.978 7.978
angles (deg): 44.73 44.73 44.73
Fractional coordinates of all 14 atoms:
1 Cs 0.000 0.000 0.000
2 Cs 0.359 0.359 0.359
3 Li 0.520 0.520 0.520
4 Ti 0.005 0.005 0.507
5 Ti 0.005 0.507 0.005
6 Ti 0.507 0.005 0.005
7 O 0.193 0.731 0.731
8 O 0.221 0.221 0.221
9 O 0.278 0.278 0.819
10 O 0.278 0.819 0.278
11 O 0.731 0.193 0.731
12 O 0.731 0.731 0.193
13 O 0.789 0.789 0.789
14 O 0.819 0.278 0.278

Results
The symmetry is R3m, No. 160. The calculation puts the total magnetic moment at 1.10 μB/cell.

---

# 2
# EuBeZn3

A geometry-optimized EuBeZn3 structure (PBE, Alexandria via LeMat-Bulk).

a b c (Å): 4.513 4.513 4.513
angles (deg): 90.00 90.00 90.00
Fractional coordinates of all 5 atoms:
1 Eu 0.000 0.000 0.000
2 Be 0.500 0.500 0.500
3 Zn 0.000 0.500 0.500
4 Zn 0.500 0.000 0.500
5 Zn 0.500 0.500 0.000

Results
The formation energy comes out at -0.05 eV/atom. The symmetry is Pm-3m, No. 221. The calculation puts the total magnetic moment at 7.47 μB/cell.

---

no.,calculated volume (Å³ per atom),E (eV/atom)
1,16.3,-7.229
2,18.4,-3.616